1.
The following is a DFT calculation (PBE) of a geometry-optimized PaHg structure.

ΔH_f (0 K) = 0.09 eV per atom
final energy = -4.81 eV/atom
Fermi-level density of states = 6.727 states/eV/cell

Structure (POSCAR):
```
PaHg
1.0
3.7461 0.0000 0.0000
0.0000 3.9299 0.0000
-0.5721 0.0000 6.6439
Pa Hg
2 2
direct
0.1935 0.2500 0.0977 Pa
0.8065 0.7500 0.9023 Pa
0.2701 0.2500 0.6144 Hg
0.7299 0.7500 0.3856 Hg
```

***

2.
The following is a DFT calculation (PBE) of a geometry-optimized LuHgPb structure.

ΔH_f (0 K) = -0.13 eV per atom
final energy = -2.97 eV/atom
Fermi-level density of states = 9.785 states/eV/cell

Structure (POSCAR):
```
LuHgPb
1.0
7.0433 0.0000 0.0000
0.0000 7.0433 0.0000
0.0000 0.0000 7.0433
Lu Hg Pb
4 4 4
direct
0.0000 0.0000 0.0000 Lu
0.0000 0.5000 0.5000 Lu
0.5000 0.0000 0.5000 Lu
0.5000 0.5000 0.0000 Lu
0.2500 0.2500 0.2500 Hg
0.2500 0.7500 0.7500 Hg
0.7500 0.2500 0.7500 Hg
0.7500 0.7500 0.2500 Hg
0.0000 0.0000 0.5000 Pb
0.0000 0.5000 0.0000 Pb
0.5000 0.0000 0.0000 Pb
0.5000 0.5000 0.5000 Pb
```

***

3.
The following is a DFT calculation (PBE) of a geometry-optimized HgTeCl6 structure.

raw formation energy = -0.5171 eV/atom
final energy = -2.33 eV/atom

Structure (POSCAR):
```
HgTeCl6
1.0
3.3130 1.9128 6.0061
-3.3130 1.9128 6.0061
0.0000 -3.8255 6.0061
Hg Te Cl
1 1 6
direct
0.0000 0.0000 0.0000 Hg
0.5000 0.5000 0.5000 Te
0.0994 0.7389 0.4175 Cl
0.2611 0.5825 0.9006 Cl
0.4175 0.0994 0.7389 Cl
0.5825 0.9006 0.2611 Cl
0.7389 0.4175 0.0994 Cl
0.9006 0.2611 0.5825 Cl
```

***

4.
The following is a DFT calculation (PBE) of a geometry-optimized Tl2VPt structure.

ΔH_f (0 K) = 0.49 eV per atom
final energy = -4.49 eV/atom
Fermi-level density of states = 17.244 states/eV/cell

Structure (POSCAR):
```
Tl2VPt
1.0
7.7405 0.0000 0.0000
0.0000 7.7405 0.0000
0.0000 0.0000 5.9182
Tl V Pt
8 4 4
direct
0.2365 0.7500 0.1250 Tl
0.2500 0.2365 0.8750 Tl
0.2500 0.2635 0.3750 Tl
0.2635 0.7500 0.6250 Tl
0.7365 0.2500 0.6250 Tl
0.7500 0.7365 0.3750 Tl
0.7500 0.7635 0.8750 Tl
0.7635 0.2500 0.1250 Tl
0.0000 0.0000 0.5000 V
0.0000 0.5000 0.7500 V
0.5000 0.0000 0.2500 V
0.5000 0.5000 0.0000 V
0.0000 0.0000 0.0000 Pt
0.0000 0.5000 0.2500 Pt
0.5000 0.0000 0.7500 Pt
0.5000 0.5000 0.5000 Pt
```

***

5.
The following is a DFT calculation (PBE) of a geometry-optimized KTcSb2 structure.

raw formation energy = 0.0117 eV/atom
final energy = -4.92 eV/atom
Fermi-level density of states = 6.142 states/eV/cell

Structure (POSCAR):
```
KTcSb2
1.0
8.3669 0.0000 0.0000
0.0000 3.3802 0.0000
-1.3087 0.0000 7.6887
K Tc Sb
2 2 4
direct
0.0000 0.0000 0.0000 K
0.5000 0.5000 0.0000 K
0.0000 0.5000 0.5000 Tc
0.5000 0.0000 0.5000 Tc
0.2285 0.0000 0.6697 Sb
0.2715 0.5000 0.3303 Sb
0.7285 0.5000 0.6697 Sb
0.7715 0.0000 0.3303 Sb
```

***

6.
The following is a DFT calculation (PBE) of a geometry-optimized ZnHg12Pb16 structure.

ΔH_f (0 K) = 0.04 eV per atom
final energy = -2.17 eV/atom
Fermi-level density of states = 9.268 states/eV/cell

Structure (POSCAR):
```
ZnHg12Pb16
1.0
5.8636 -8.6101 0.0000
5.8636 8.6101 0.0000
-5.4073 0.0000 8.2285
Zn Hg Pb
1 12 16
direct
0.0000 0.0000 0.0000 Zn
0.1090 0.7550 0.4835 Hg
0.1162 0.9382 0.2709 Hg
0.2749 0.2749 0.1032 Hg
0.3696 0.5418 0.9583 Hg
0.5418 0.3696 0.9583 Hg
0.5543 0.5543 0.4444 Hg
0.5666 0.9134 0.0972 Hg
0.7550 0.1090 0.4835 Hg
0.7614 0.9441 0.7057 Hg
0.9134 0.5666 0.0972 Hg
0.9382 0.1162 0.2709 Hg
0.9441 0.7614 0.7057 Hg
0.0111 0.3248 0.8880 Pb
0.0731 0.4477 0.6136 Pb
0.0984 0.0984 0.6318 Pb
0.1327 0.4501 0.2939 Pb
0.1731 0.7276 0.9911 Pb
0.3248 0.0111 0.8880 Pb
0.3630 0.3630 0.5800 Pb
0.4284 0.7484 0.6927 Pb
0.4322 0.7718 0.3397 Pb
0.4477 0.0731 0.6136 Pb
0.4501 0.1327 0.2939 Pb
0.7096 0.7096 0.9286 Pb
0.7276 0.1731 0.9911 Pb
0.7484 0.4284 0.6927 Pb
0.7596 0.7596 0.3166 Pb
0.7718 0.4322 0.3397 Pb
```

***

7.
The following is a DFT calculation (PBE) of a geometry-optimized Mn2InI6 structure.

raw formation energy = -0.3480 eV/atom
final energy = -3.72 eV/atom
Fermi-level density of states = 4.351 states/eV/cell

Structure (POSCAR):
```
Mn2InI6
1.0
7.2807 -2.8575 0.0000
7.2807 2.8575 0.0000
-1.7656 0.0000 9.4017
Mn In I
2 1 6
direct
0.2354 0.2354 0.1678 Mn
0.7646 0.7646 0.8322 Mn
0.0000 0.0000 0.5000 In
0.0583 0.0583 0.2012 I
0.2482 0.2482 0.8782 I
0.3682 0.3682 0.4025 I
0.6318 0.6318 0.5975 I
0.7518 0.7518 0.1218 I
0.9417 0.9417 0.7988 I
```

***

8.
The following is a DFT calculation (PBE) of a geometry-optimized Ti3Re2Pd structure.

ΔH_f (0 K) = -0.52 eV per atom
final energy = -9.49 eV/atom
Fermi-level density of states = 2.285 states/eV/cell

Structure (POSCAR):
```
Ti3Re2Pd
1.0
3.1411 0.0000 0.0000
0.0000 3.1411 0.0000
0.0000 0.0000 9.3724
Ti Re Pd
3 2 1
direct
0.0000 0.0000 0.0000 Ti
0.0000 0.0000 0.3219 Ti
0.0000 0.0000 0.6781 Ti
0.5000 0.5000 0.1690 Re
0.5000 0.5000 0.8310 Re
0.5000 0.5000 0.5000 Pd
```

***

9.
The following is a DFT calculation (PBE) of a geometry-optimized SrReAgMo2 structure.

ΔH_f (0 K) = 3.22 eV per atom
final energy = -4.51 eV/atom
Fermi-level density of states = 4.045 states/eV/cell

Structure (POSCAR):
```
SrReAgMo2
1.0
4.7681 0.0000 0.0000
0.0000 4.7681 0.0000
0.0000 0.0000 4.8006
Sr Re Ag Mo
1 1 1 2
direct
0.0000 0.0000 0.0000 Sr
0.0000 0.0000 0.5000 Re
0.5000 0.5000 0.5000 Ag
0.0000 0.5000 0.0000 Mo
0.5000 0.0000 0.0000 Mo
```

***

10.
The following is a DFT calculation (PBE) of a geometry-optimized KGa2Hg2 structure.

ΔH_f (0 K) = -0.02 eV per atom
final energy = -1.57 eV/atom
Fermi-level density of states = 4.081 states/eV/cell

Structure (POSCAR):
```
KGa2Hg2
1.0
8.8093 0.0000 0.0000
0.0000 8.8093 0.0000
0.0000 0.0000 3.3341
K Ga Hg
2 4 4
direct
0.0000 0.0000 0.0000 K
0.5000 0.5000 0.0000 K
0.1455 0.3545 0.5000 Ga
0.3545 0.8545 0.5000 Ga
0.6455 0.1455 0.5000 Ga
0.8545 0.6455 0.5000 Ga
0.1461 0.6461 0.0000 Hg
0.3539 0.1461 0.0000 Hg
0.6461 0.8539 0.0000 Hg
0.8539 0.3539 0.0000 Hg
```

***

11.
The following is a DFT calculation (PBE) of a geometry-optimized Ac5SmSn4 structure.

ΔH_f (0 K) = -0.51 eV per atom
final energy = -4.64 eV/atom
Fermi-level density of states = 6.545 states/eV/cell

Structure (POSCAR):
```
Ac5SmSn4
1.0
8.7824 -2.8206 0.0000
8.7824 2.8206 0.0000
-0.1512 0.0000 7.7242
Ac Sm Sn
5 1 4
direct
0.0000 0.0000 0.0000 Ac
0.3332 0.3332 0.4930 Ac
0.3362 0.3362 0.9991 Ac
0.6638 0.6638 0.0009 Ac
0.6668 0.6668 0.5070 Ac
0.0000 0.0000 0.5000 Sm
0.1723 0.1723 0.7489 Sn
0.4926 0.4926 0.7349 Sn
0.5074 0.5074 0.2651 Sn
0.8277 0.8277 0.2511 Sn
```

***

12.
The following is a DFT calculation (PBE) of a geometry-optimized Np4UGa15 structure.

ΔH_f (0 K) = -0.10 eV per atom
final energy = -5.52 eV/atom
Fermi-level density of states = 23.544 states/eV/cell

Structure (POSCAR):
```
Np4UGa15
1.0
3.0206 -4.6297 0.0000
3.0206 4.6297 0.0000
0.0000 0.0000 13.8640
Np U Ga
4 1 15
direct
0.0000 0.0000 0.1002 Np
0.0000 0.0000 0.3021 Np
0.0000 0.0000 0.6979 Np
0.0000 0.0000 0.8998 Np
0.0000 0.0000 0.5000 U
0.0000 0.5000 0.0000 Ga
0.0000 0.5000 0.2006 Ga
0.0000 0.5000 0.3999 Ga
0.0000 0.5000 0.6001 Ga
0.0000 0.5000 0.7994 Ga
0.5000 0.0000 0.0000 Ga
0.5000 0.0000 0.2006 Ga
0.5000 0.0000 0.3999 Ga
0.5000 0.0000 0.6001 Ga
0.5000 0.0000 0.7994 Ga
0.5000 0.5000 0.0996 Ga
0.5000 0.5000 0.2996 Ga
0.5000 0.5000 0.5000 Ga
0.5000 0.5000 0.7004 Ga
0.5000 0.5000 0.9004 Ga
```

***

Among the records above, which one has the highest final energy?
KGa2Hg2

***

Which of these has the lowest final energy?
Ti3Re2Pd